NpSn2S4 | PBE-GGA | relaxed

Structure (POSCAR):
```
NpSn2S4
1.0
-3.390 0.563 -1.680
1.436 -6.970 -0.880
-6.021 -2.661 11.254
Sn S Np
4 8 2
direct
0.871 0.741 0.934
0.129 0.259 0.066
0.871 0.741 0.566
0.129 0.259 0.434
0.500 0.000 0.500
0.790 0.580 0.373
0.210 0.420 0.627
0.500 0.000 0.000
0.982 0.963 0.750
0.018 0.037 0.250
0.790 0.580 0.127
0.210 0.420 0.873
0.383 0.765 0.250
0.617 0.235 0.750
```

offset from the most stable computed form: 5.5 kJ/mol of atoms
formation energy (no corrections): -5.0 eV per formula unit
symmetry: Cmcm